Record 1
MgCuGe2Pb: relaxed, PBEsol.

```
5
Lattice="4.964 0.000 0.000 0.000 4.964 0.000 0.000 0.000 4.696" Properties=species:S:1:pos:R:3 pbc="T T T"
Mg 0.000 0.000 0.000
Cu 0.000 0.000 2.348
Ge 0.000 2.482 0.000
Ge 2.482 0.000 0.000
Pb 2.482 2.482 2.348
```

Summary:
Energy of formation from the pure elements, meV/atom: 698
Energy, eV/atom: -3.29

***

Record 2
MgCu2GeS4: relaxed, PBEsol.

```
8
Lattice="-2.703 2.703 5.157 2.703 -2.703 5.157 2.703 2.703 -5.157" Properties=species:S:1:pos:R:3 pbc="T T T"
Mg 0.000 0.000 0.000
Cu 2.703 0.000 2.579
Cu 0.000 2.703 2.579
Ge 0.000 0.000 5.157
S 1.262 -1.262 3.792
S 1.440 1.440 1.365
S -1.262 1.262 3.792
S 1.262 1.262 6.523
```

Summary:
Raw formation energy, eV per formula unit: -4.981
Energy, eV/atom: -4.73

***

Record 3
MgCu2GeS4: relaxed, PBEsol.

```
16
Lattice="7.581 0.000 0.000 0.000 6.437 0.000 0.000 0.000 6.182" Properties=species:S:1:pos:R:3 pbc="T T T"
Mg 0.000 1.037 0.000
Mg 3.791 5.400 3.091
Cu 1.886 2.090 3.041
Cu 1.905 4.347 6.132
Cu 5.676 4.347 6.132
Cu 5.695 2.090 3.041
Ge 0.000 5.304 3.078
Ge 3.791 1.134 6.170
S 0.000 1.016 3.723
S 0.000 5.184 0.832
S 1.787 4.211 3.880
S 2.003 2.227 0.789
S 3.791 1.253 3.924
S 3.791 5.422 0.632
S 5.578 2.227 0.789
S 5.794 4.211 3.880
```

Summary:
Raw formation energy, eV per formula unit: -4.967
Energy, eV/atom: -4.73

***

Record 4
MnCu2GeTe4: relaxed, PBEsol.

```
8
Lattice="-2.999 2.999 5.930 2.999 -2.999 5.930 2.999 2.999 -5.930" Properties=species:S:1:pos:R:3 pbc="T T T"
Mn 0.000 0.000 0.000
Cu 2.999 0.000 2.965
Cu 0.000 2.999 2.965
Ge 0.000 0.000 5.930
Te 1.484 1.484 -1.584
Te 1.515 -1.515 7.514
Te 1.515 1.515 4.346
Te -1.515 1.515 7.514
```

Summary:
Raw formation energy, eV per formula unit: -0.129
Energy, eV/atom: -4.70

***

Record 5
CuSn2GeMo: relaxed, PBEsol.

```
5
Lattice="5.158 0.000 0.000 0.000 5.158 0.000 0.000 0.000 4.757" Properties=species:S:1:pos:R:3 pbc="T T T"
Cu 0.000 0.000 0.000
Sn 0.000 2.579 2.378
Sn 2.579 0.000 2.378
Ge 2.579 2.579 2.378
Mo 2.579 2.579 0.000
```

Summary:
Energy of formation from the pure elements, meV/atom: 1305
Energy, eV/atom: -4.61

***

Record 6
CuGe2N3: relaxed, PBEsol.

```
12
Lattice="4.729 -2.721 0.000 4.729 2.721 0.000 0.000 0.000 5.167" Properties=species:S:1:pos:R:3 pbc="T T T"
Cu 4.729 1.788 2.583
Cu 4.729 -1.788 0.000
Ge 3.182 0.918 0.059
Ge 6.276 0.918 0.059
Ge 3.182 -0.918 2.642
Ge 6.276 -0.918 2.642
N 2.996 0.819 3.346
N 4.729 1.700 0.588
N 2.996 -0.819 0.763
N 6.462 0.819 3.346
N 4.729 -1.700 3.171
N 6.462 -0.819 0.763
```

Summary:
Raw formation energy, eV per formula unit: -0.470
Energy, eV/atom: -6.71

***

Repeat the fifth record exactly.
CuSn2GeMo: relaxed, PBEsol.

```
5
Lattice="5.158 0.000 0.000 0.000 5.158 0.000 0.000 0.000 4.757" Properties=species:S:1:pos:R:3 pbc="T T T"
Cu 0.000 0.000 0.000
Sn 0.000 2.579 2.378
Sn 2.579 0.000 2.378
Ge 2.579 2.579 2.378
Mo 2.579 2.579 0.000
```

Summary:
Energy of formation from the pure elements, meV/atom: 1305
Energy, eV/atom: -4.61